[1]
# LuTlFeCo

A geometry-optimized LuTlFeCo structure (GGA-PBE, OQMD via LeMat-Bulk).

The structure in CIF format:
```
data_LuTlFeCo
_cell_length_a 6.5972
_cell_length_b 6.5972
_cell_length_c 6.5972
_cell_angle_alpha 90.00
_cell_angle_beta 90.00
_cell_angle_gamma 90.00
_space_group_name_H-M_alt 'F -4 3 m'
_space_group_IT_number 216
_space_group_name_Hall 'F -4 2 3'
loop_
_atom_site_label
_atom_site_fract_x
_atom_site_fract_y
_atom_site_fract_z
_atom_site_occupancy
Lu1 0.0000 0.0000 0.0000 1
Tl1 0.2500 0.2500 0.2500 1
Fe1 0.0000 0.0000 0.5000 1
Co1 0.2500 0.2500 0.7500 1
```

Computed properties:
Theoretical density = 11.431 Mg/m³
Spin magnetization = 17.71 μB/cell
Total DFT energy (no corrections) = -0.1950 hartree per atom

=====

[2]
# InCoIrPt

A geometry-optimized InCoIrPt structure (GGA-PBE, OQMD via LeMat-Bulk).

The structure in CIF format:
```
data_InCoIrPt
_cell_length_a 6.2974
_cell_length_b 6.2974
_cell_length_c 6.2974
_cell_angle_alpha 90.00
_cell_angle_beta 90.00
_cell_angle_gamma 90.00
_space_group_name_H-M_alt 'F -4 3 m'
_space_group_IT_number 216
_space_group_name_Hall 'F -4 2 3'
loop_
_atom_site_label
_atom_site_fract_x
_atom_site_fract_y
_atom_site_fract_z
_atom_site_occupancy
In1 0.0000 0.0000 0.0000 1
Co1 0.2500 0.2500 0.2500 1
Ir1 0.2500 0.2500 0.7500 1
Pt1 0.0000 0.0000 0.5000 1
```

Computed properties:
Theoretical density = 14.922 Mg/m³
Spin magnetization = 8.71 μB/cell
Total DFT energy (no corrections) = -0.2231 hartree per atom

=====

Q: Which value of theoretical density does entry 1 give?
A: 11.431 Mg/m³

=====

Q: The lowest theoretical density belongs to which entry?
A: LuTlFeCo

=====

Repeat the first record exactly.
# LuTlFeCo

A geometry-optimized LuTlFeCo structure (GGA-PBE, OQMD via LeMat-Bulk).

The structure in CIF format:
```
data_LuTlFeCo
_cell_length_a 6.5972
_cell_length_b 6.5972
_cell_length_c 6.5972
_cell_angle_alpha 90.00
_cell_angle_beta 90.00
_cell_angle_gamma 90.00
_space_group_name_H-M_alt 'F -4 3 m'
_space_group_IT_number 216
_space_group_name_Hall 'F -4 2 3'
loop_
_atom_site_label
_atom_site_fract_x
_atom_site_fract_y
_atom_site_fract_z
_atom_site_occupancy
Lu1 0.0000 0.0000 0.0000 1
Tl1 0.2500 0.2500 0.2500 1
Fe1 0.0000 0.0000 0.5000 1
Co1 0.2500 0.2500 0.7500 1
```

Computed properties:
Theoretical density = 11.431 Mg/m³
Spin magnetization = 17.71 μB/cell
Total DFT energy (no corrections) = -0.1950 hartree per atom